A plane-wave DFT calculation with GGA-PBE was carried out for an optimized crystal structure of ZrTaMnOs2.

Cell: 4.464 4.464 4.550 Å, 90.00 90.00 90.00°
Space group P4/mmm (No. 123)
Inequivalent atoms, fractional coordinates:
Zr (0.000, 0.000, 0.000) (multiplicity 1)
Ta (0.500, 0.500, 0.000) (multiplicity 1)
Mn (0.500, 0.500, 0.500) (multiplicity 1)
Os (0.000, 0.500, 0.500) (multiplicity 2)

## Properties
Total magnetic moment = 0.000 μB/atom
N(E_F) = 0.853 states/eV per atom
Formation enthalpy at 0 K = 0.762 eV per atom

A plane-wave DFT calculation with GGA-PBE was carried out for an optimized crystal structure of TbMn17Os.

Cell: 8.0872 8.0872 12.1413 Å, 90.00 90.00 120.00°
Space group R3m (No. 160, hexagonal axes)
Inequivalent atoms, fractional coordinates:
Tb (0.0000, 0.0000, 0.0000) (multiplicity 3)
Mn (0.0000, 0.0000, 0.2520) (multiplicity 3)
Mn (0.0000, 0.0000, 0.4369) (multiplicity 3)
Mn (0.0092, 0.5046, 0.8368) (multiplicity 9)
Mn (0.0148, 0.5074, 0.5001) (multiplicity 9)
Mn (0.0166, 0.3098, 0.3466) (multiplicity 18)
Mn (0.0249, 0.5124, 0.1997) (multiplicity 9)
Os (0.0000, 0.0000, 0.6832) (multiplicity 3)

## Properties
Total magnetic moment = 0.112 μB/atom
N(E_F) = 1.333 states/eV per atom
Formation enthalpy at 0 K = 0.131 eV per atom

A plane-wave DFT calculation with GGA-PBE was carried out for an optimized crystal structure of Mn2TcOs.

Cell: 2.914 2.914 6.011 Å, 90.00 90.00 90.00°
Space group P4mm (No. 99)
Inequivalent atoms, fractional coordinates:
Mn (0.000, 0.000, 0.000) (multiplicity 1)
Mn (0.500, 0.500, 0.153) (multiplicity 1)
Tc (0.500, 0.500, 0.716) (multiplicity 1)
Os (0.000, 0.000, 0.437) (multiplicity 1)

## Properties
Total magnetic moment = 0.000 μB/atom
N(E_F) = 0.843 states/eV per atom
Formation enthalpy at 0 K = 0.145 eV per atom